A plane-wave DFT calculation with PBE-GGA was carried out for an optimized crystal structure of LiMgMn2.

Lattice parameters (Å, degrees): 2.7761 4.4670 5.3461 90.00 103.97 90.00
Space group P2/m (No. 10)
Inequivalent atoms, fractional coordinates:
Li 0.0000 0.0000 0.0000
Mg 0.5000 0.0000 0.5000
Mn 0.1714 0.5000 0.7667

Results
formation energy from the elements	0.38	eV per atom
total magnetization	7.0	μB per cell
DFT total energy	-20.31	eV for the cell shown

A plane-wave DFT calculation with PBE-GGA was carried out for an optimized crystal structure of NiHg2P.

Lattice parameters (Å, degrees): 3.1501 3.1501 25.7499 90.00 90.00 120.00
Space group R-3m (No. 166, hexagonal axes)
Inequivalent atoms, fractional coordinates:
Ni 0.0000 0.0000 0.0000
Hg 0.0000 0.0000 0.2573
P 0.0000 0.0000 0.5000

Results
formation energy from the elements	0.51	eV per atom
total magnetization	0.0	μB per cell
DFT total energy	-29.24	eV for the cell shown

A plane-wave DFT calculation with PBE-GGA was carried out for an optimized crystal structure of HoTm3Ir4.

Lattice parameters (Å, degrees): 4.6763 4.6763 7.0997 90.00 90.00 90.00
Space group P4/mmm (No. 123)
Inequivalent atoms, fractional coordinates:
Ho 0.0000 0.0000 0.0000
Tm 0.0000 0.0000 0.5000
Tm 0.5000 0.5000 0.0000
Tm 0.5000 0.5000 0.5000
Ir 0.0000 0.5000 0.2515

Results
formation energy from the elements	-0.90	eV per atom
total magnetization	0.0	μB per cell
DFT total energy	-60.67	eV for the cell shown

A plane-wave DFT calculation with PBE-GGA was carried out for an optimized crystal structure of CrBr.

Lattice parameters (Å, degrees): 3.7636 3.9411 14.7397 90.00 90.00 90.00
Space group Imma (No. 74)
Inequivalent atoms, fractional coordinates:
Cr 0.0000 0.2500 0.1596
Br 0.0000 0.2500 0.6295

Results
total magnetization	19.7	μB per cell
DFT total energy	-43.29	eV for the cell shown
formation energy (no corrections)	0.2365	eV/atom

A plane-wave DFT calculation with PBE-GGA was carried out for an optimized crystal structure of Dy4Tm3PuS8.

Lattice parameters (Å, degrees): 7.7698 7.7698 19.0531 90.00 90.00 120.00
Space group R-3m (No. 166, hexagonal axes)
Inequivalent atoms, fractional coordinates:
Dy 0.0000 0.0000 0.0000
Dy 0.0000 0.5000 0.0000
Tm 0.0000 0.5000 0.5000
Pu 0.0000 0.0000 0.5000
S 0.0000 0.0000 0.2480
S 0.0041 0.5021 0.7509

Results
total magnetization	17.3	μB per cell
DFT total energy	-331.36	eV for the cell shown
formation energy (no corrections)	-1.9550	eV/atom

A plane-wave DFT calculation with PBE-GGA was carried out for an optimized crystal structure of DyErPdAu.

Lattice parameters (Å, degrees): 7.0793 7.0793 7.0793 90.00 90.00 90.00
Space group F-43m (No. 216)
Inequivalent atoms, fractional coordinates:
Dy 0.0000 0.0000 0.0000
Er 0.0000 0.0000 0.5000
Pd 0.2500 0.2500 0.2500
Au 0.2500 0.2500 0.7500

Results
formation energy from the elements	-0.88	eV per atom
total magnetization	0.0	μB per cell
DFT total energy	-84.57	eV for the cell shown
E above lowest polymorph	42	meV/atom

A plane-wave DFT calculation with PBE-GGA was carried out for an optimized crystal structure of TlRh3F.

Lattice parameters (Å, degrees): 4.3555 4.3555 4.3555 90.00 90.00 90.00
Space group Pm-3m (No. 221)
Inequivalent atoms, fractional coordinates:
Tl 0.0000 0.0000 0.0000
Rh 0.0000 0.5000 0.5000
F 0.5000 0.5000 0.5000

Results
total magnetization	2.8	μB per cell
DFT total energy	-23.63	eV for the cell shown
formation energy (no corrections)	0.5317	eV/atom
E above lowest polymorph	0	meV/atom

A plane-wave DFT calculation with PBE-GGA was carried out for an optimized crystal structure of RbLa2Sc.

Lattice parameters (Å, degrees): 8.4820 8.4820 8.4820 90.00 90.00 90.00
Space group Fm-3m (No. 225)
Inequivalent atoms, fractional coordinates:
Rb 0.0000 0.0000 0.0000
La 0.2500 0.2500 0.2500
Sc 0.0000 0.0000 0.5000

Results
formation energy from the elements	0.60	eV per atom
total magnetization	0.0	μB per cell
DFT total energy	-59.06	eV for the cell shown
E above lowest polymorph	322	meV/atom

A plane-wave DFT calculation with PBE-GGA was carried out for an optimized crystal structure of MgPbSN2.

Lattice parameters (Å, degrees): 4.2525 4.2525 5.5770 90.00 90.00 90.00
Space group P4/mmm (No. 123)
Inequivalent atoms, fractional coordinates:
Mg 0.0000 0.0000 0.0000
Pb 0.5000 0.5000 0.5000
S 0.5000 0.5000 0.0000
N 0.0000 0.5000 0.5000

Results
total magnetization	2.1	μB per cell
DFT total energy	-19.83	eV for the cell shown
formation energy (no corrections)	1.2500	eV/atom
E above lowest polymorph	375	meV/atom

A plane-wave DFT calculation with PBE-GGA was carried out for an optimized crystal structure of Mg2MnFePd.

Lattice parameters (Å, degrees): 4.8328 4.8328 4.7761 90.00 90.00 90.00
Space group P4/mmm (No. 123)
Inequivalent atoms, fractional coordinates:
Mg 0.0000 0.5000 0.0000
Mn 0.0000 0.0000 0.5000
Fe 0.5000 0.5000 0.5000
Pd 0.5000 0.5000 0.0000

Results
formation energy from the elements	0.64	eV per atom
total magnetization	1.2	μB per cell
DFT total energy	-22.83	eV for the cell shown

A plane-wave DFT calculation with PBE-GGA was carried out for an optimized crystal structure of Er4AlGaAg2.

Lattice parameters (Å, degrees): 5.0900 5.0900 24.8656 90.00 90.00 120.00
Space group R-3m (No. 166, hexagonal axes)
Inequivalent atoms, fractional coordinates:
Er 0.0000 0.0000 0.1233
Er 0.0000 0.0000 0.3736
Al 0.0000 0.0000 0.5000
Ga 0.0000 0.0000 0.0000
Ag 0.0000 0.0000 0.2461

Results
formation energy from the elements	-0.41	eV per atom
total magnetization	0.0	μB per cell
DFT total energy	-102.11	eV for the cell shown

A plane-wave DFT calculation with PBE-GGA was carried out for an optimized crystal structure of Al2Ni2Te.

Lattice parameters (Å, degrees): 7.2313 7.2313 2.9161 90.00 90.00 90.00
Space group P4/mbm (No. 127)
Inequivalent atoms, fractional coordinates:
Al 0.1402 0.3598 0.0000
Ni 0.1464 0.6464 0.5000
Te 0.0000 0.0000 0.5000

Results
total magnetization	0.0	μB per cell
DFT total energy	-46.50	eV for the cell shown
formation energy (no corrections)	-0.2125	eV/atom
E above lowest polymorph	0	meV/atom

A plane-wave DFT calculation with PBE-GGA was carried out for an optimized crystal structure of SrIn8Pd2.

Lattice parameters (Å, degrees): 6.3657 6.3657 8.6618 90.00 90.00 90.00
Space group P4/mmm (No. 123)
Inequivalent atoms, fractional coordinates:
Sr 0.0000 0.0000 0.0000
In 0.2535 0.2535 0.3071
Pd 0.0000 0.5000 0.5000

Results
formation energy from the elements	-0.12	eV per atom
total magnetization	0.0	μB per cell
DFT total energy	-35.29	eV for the cell shown

A plane-wave DFT calculation with PBE-GGA was carried out for an optimized crystal structure of Sm2BiPd6.

Lattice parameters (Å, degrees): 11.0475 8.6988 4.3846 90.00 113.36 90.00
Space group C2/m (No. 12)
Inequivalent atoms, fractional coordinates:
Sm 0.1756 0.0000 0.1736
Bi 0.0000 0.5000 0.5000
Pd 0.0000 0.2788 0.0000
Pd 0.1611 0.2232 0.6603

Results
formation energy from the elements	-0.44	eV per atom
total magnetization	0.0	μB per cell
DFT total energy	-96.90	eV for the cell shown

A plane-wave DFT calculation with PBE-GGA was carried out for an optimized crystal structure of Ta2TiMo.

Lattice parameters (Å, degrees): 3.2536 4.6307 9.1601 90.00 90.00 90.00
Space group Immm (No. 71)
Inequivalent atoms, fractional coordinates:
Ta 0.0000 0.0000 0.2371
Ti 0.0000 0.5000 0.0000
Mo 0.0000 0.5000 0.5000

Results
formation energy from the elements	-0.08	eV per atom
total magnetization	0.0	μB per cell
DFT total energy	-85.48	eV for the cell shown

A plane-wave DFT calculation with PBE-GGA was carried out for an optimized crystal structure of ErTm2Mg6.

Lattice parameters (Å, degrees): 15.6310 9.0039 3.2702 90.00 90.28 90.00
Space group C2/m (No. 12)
Inequivalent atoms, fractional coordinates:
Er 0.0000 0.0000 0.0000
Tm 0.1667 0.5000 0.0000
Mg 0.0000 0.3336 0.5000
Mg 0.1669 0.1671 0.4992

Results
formation energy from the elements	-0.05	eV per atom
total magnetization	0.0	μB per cell
DFT total energy	-47.10	eV for the cell shown

A plane-wave DFT calculation with PBE-GGA was carried out for an optimized crystal structure of Tm2CdTe.

Lattice parameters (Å, degrees): 3.7938 3.7938 7.1828 90.00 90.00 90.00
Space group P4/mmm (No. 123)
Inequivalent atoms, fractional coordinates:
Tm 0.0000 0.0000 0.2500
Cd 0.5000 0.5000 0.0000
Te 0.5000 0.5000 0.5000

Results
total magnetization	0.0	μB per cell
DFT total energy	-15.42	eV for the cell shown
formation energy (no corrections)	-0.6045	eV/atom
E above lowest polymorph	24	meV/atom

A plane-wave DFT calculation with PBE-GGA was carried out for an optimized crystal structure of AlNiRu.

Lattice parameters (Å, degrees): 7.8860 4.5637 5.1374 90.00 122.57 90.00
Space group C2 (No. 5)
Inequivalent atoms, fractional coordinates:
Al 0.0000 0.0000 0.0000
Al 0.0000 0.1852 0.5000
Ni 0.1685 0.5081 0.0029
Ru 0.1677 0.6793 0.5016

Results
formation energy from the elements	-0.32	eV per atom
total magnetization	0.0	μB per cell
DFT total energy	-79.00	eV for the cell shown

A plane-wave DFT calculation with PBE-GGA was carried out for an optimized crystal structure of LiNiSb2.

Lattice parameters (Å, degrees): 4.0181 5.0796 7.7995 90.00 90.00 90.00
Space group Cmmm (No. 65)
Inequivalent atoms, fractional coordinates:
Li 0.0000 0.0000 0.0000
Ni 0.0000 0.0000 0.5000
Sb 0.0000 0.5000 0.2832

Results
total magnetization	0.0	μB per cell
DFT total energy	-32.96	eV for the cell shown
formation energy (no corrections)	-0.1354	eV/atom
E above lowest polymorph	141	meV/atom

A plane-wave DFT calculation with PBE-GGA was carried out for an optimized crystal structure of MgAg2W.

Lattice parameters (Å, degrees): 2.8424 2.8424 8.4644 90.00 90.00 90.00
Space group P4/mmm (No. 123)
Inequivalent atoms, fractional coordinates:
Mg 0.0000 0.0000 0.0000
Ag 0.5000 0.5000 0.2487
W 0.0000 0.0000 0.5000

Results
formation energy from the elements	0.33	eV per atom
total magnetization	0.0	μB per cell
DFT total energy	-18.93	eV for the cell shown